Version i
Material: NbAs2SeO
Method: DFT, PBE-GGA
State: optimized geometry

Computed properties:
* spin magnetization: 0.00 Bohr magnetons per cell

Cell and atoms, written as CIF:
```
data_NbAs2SeO
_symmetry_space_group_name_H-M 'P 4/m m m'
_symmetry_Int_Tables_number 123
_symmetry_space_group_name_Hall '-P 4 2'
_cell_length_a 4.209
_cell_length_b 4.209
_cell_length_c 4.683
_cell_angle_alpha 90.00
_cell_angle_beta 90.00
_cell_angle_gamma 90.00
loop_
_atom_site_label
_atom_site_type_symbol
_atom_site_fract_x
_atom_site_fract_y
_atom_site_fract_z
Nb1 Nb 0.000 0.000 0.000
As1 As 0.000 0.500 0.500
Se1 Se 0.500 0.500 0.000
O1 O 0.500 0.500 0.500
```

=====

Version ii
Material: NbAs2SeO
Method: DFT, PBE-GGA
State: optimized geometry

Computed properties:
* spin magnetization: 0.00 Bohr magnetons per cell

Cell and atoms, written as CIF:
```
data_NbAs2SeO
_symmetry_space_group_name_H-M 'P 4/m m m'
_symmetry_Int_Tables_number 123
_symmetry_space_group_name_Hall '-P 4 2'
_cell_length_a 4.990
_cell_length_b 4.990
_cell_length_c 4.869
_cell_angle_alpha 90.00
_cell_angle_beta 90.00
_cell_angle_gamma 90.00
loop_
_atom_site_label
_atom_site_type_symbol
_atom_site_fract_x
_atom_site_fract_y
_atom_site_fract_z
Nb1 Nb 0.000 0.000 0.000
As1 As 0.000 0.500 0.000
Se1 Se 0.000 0.000 0.500
O1 O 0.500 0.500 0.500
```

=====

The structure with the greatest stability is version i.

=====

Version i
Material: NbAs2Os
Method: DFT, PBE-GGA
State: optimized geometry

Computed properties:
* spin magnetization: 0.00 Bohr magnetons per cell

Cell and atoms, written as CIF:
```
data_NbAs2Os
_symmetry_space_group_name_H-M 'F m -3 m'
_symmetry_Int_Tables_number 225
_symmetry_space_group_name_Hall '-F 4 2 3'
_cell_length_a 6.292
_cell_length_b 6.292
_cell_length_c 6.292
_cell_angle_alpha 90.00
_cell_angle_beta 90.00
_cell_angle_gamma 90.00
loop_
_atom_site_label
_atom_site_type_symbol
_atom_site_fract_x
_atom_site_fract_y
_atom_site_fract_z
Nb1 Nb 0.000 0.000 0.000
As1 As 0.250 0.250 0.250
Os1 Os 0.000 0.000 0.500
```

=====

Version ii
Material: NbAs2Os
Method: DFT, PBE-GGA
State: optimized geometry

Computed properties:
* spin magnetization: 0.00 Bohr magnetons per cell

Cell and atoms, written as CIF:
```
data_NbAs2Os
_symmetry_space_group_name_H-M 'I -4 2 d'
_symmetry_Int_Tables_number 122
_symmetry_space_group_name_Hall 'I -4 2bw'
_cell_length_a 5.781
_cell_length_b 5.781
_cell_length_c 10.910
_cell_angle_alpha 90.00
_cell_angle_beta 90.00
_cell_angle_gamma 90.00
loop_
_atom_site_label
_atom_site_type_symbol
_atom_site_fract_x
_atom_site_fract_y
_atom_site_fract_z
Nb1 Nb 0.000 0.000 0.000
As1 As 0.225 0.250 0.625
Os1 Os 0.000 0.000 0.500
```

=====

The structure with the greatest stability is version i.

=====

Version i
Material: Nb3AsP
Method: DFT, PBE-GGA
State: optimized geometry

Computed properties:
* spin magnetization: 0.00 Bohr magnetons per cell

Cell and atoms, written as CIF:
```
data_Nb3AsP
_symmetry_space_group_name_H-M 'P 1 21/m 1'
_symmetry_Int_Tables_number 11
_cell_length_a 6.507
_cell_length_b 3.466
_cell_length_c 7.729
_cell_angle_alpha 90.00
_cell_angle_beta 95.86
_cell_angle_gamma 90.00
loop_
_symmetry_equiv_pos_as_xyz
'x,y,z'
'-x,-y,-z'
'-x,y+1/2,-z'
'x,-y+1/2,z'
loop_
_atom_site_label
_atom_site_type_symbol
_atom_site_fract_x
_atom_site_fract_y
_atom_site_fract_z
Nb1 Nb 0.017 0.250 0.169
Nb2 Nb 0.163 0.250 0.588
Nb3 Nb 0.481 0.750 0.809
As1 As 0.274 0.750 0.352
P1 P 0.252 0.250 0.933
```

=====

Version ii
Material: Nb3AsP
Method: DFT, PBE-GGA
State: optimized geometry

Computed properties:
* spin magnetization: 0.00 Bohr magnetons per cell

Cell and atoms, written as CIF:
```
data_Nb3AsP
_symmetry_space_group_name_H-M 'P m -3 m'
_symmetry_Int_Tables_number 221
_symmetry_space_group_name_Hall '-P 4 2 3'
_cell_length_a 4.618
_cell_length_b 4.618
_cell_length_c 4.618
_cell_angle_alpha 90.00
_cell_angle_beta 90.00
_cell_angle_gamma 90.00
loop_
_atom_site_label
_atom_site_type_symbol
_atom_site_fract_x
_atom_site_fract_y
_atom_site_fract_z
Nb1 Nb 0.000 0.000 0.500
As1 As 0.500 0.500 0.500
P1 P 0.000 0.000 0.000
```

=====

The structure with the greatest stability is version i.

=====

Version i
Material: NbAsP3
Method: DFT, PBE-GGA
State: optimized geometry

Computed properties:
* spin magnetization: 0.00 Bohr magnetons per cell

Cell and atoms, written as CIF:
```
data_NbAsP3
_symmetry_space_group_name_H-M 'P m -3 m'
_symmetry_Int_Tables_number 221
_symmetry_space_group_name_Hall '-P 4 2 3'
_cell_length_a 4.810
_cell_length_b 4.810
_cell_length_c 4.810
_cell_angle_alpha 90.00
_cell_angle_beta 90.00
_cell_angle_gamma 90.00
loop_
_atom_site_label
_atom_site_type_symbol
_atom_site_fract_x
_atom_site_fract_y
_atom_site_fract_z
Nb1 Nb 0.000 0.000 0.000
As1 As 0.500 0.500 0.500
P1 P 0.000 0.000 0.500
```

=====

Version ii
Material: NbAsP3
Method: DFT, PBE-GGA
State: optimized geometry

Computed properties:
* spin magnetization: 0.00 Bohr magnetons per cell

Cell and atoms, written as CIF:
```
data_NbAsP3
_symmetry_space_group_name_H-M 'P m -3 m'
_symmetry_Int_Tables_number 221
_symmetry_space_group_name_Hall '-P 4 2 3'
_cell_length_a 4.573
_cell_length_b 4.573
_cell_length_c 4.573
_cell_angle_alpha 90.00
_cell_angle_beta 90.00
_cell_angle_gamma 90.00
loop_
_atom_site_label
_atom_site_type_symbol
_atom_site_fract_x
_atom_site_fract_y
_atom_site_fract_z
Nb1 Nb 0.000 0.000 0.000
As1 As 0.500 0.500 0.500
P1 P 0.000 0.500 0.500
```

=====

The structure with the greatest stability is version i.

=====

Version i
Material: NbAsPSe2
Method: DFT, PBE-GGA
State: optimized geometry

Computed properties:
* spin magnetization: 1.77 Bohr magnetons per cell

Cell and atoms, written as CIF:
```
data_NbAsPSe2
_symmetry_space_group_name_H-M 'P 4/m m m'
_symmetry_Int_Tables_number 123
_symmetry_space_group_name_Hall '-P 4 2'
_cell_length_a 4.966
_cell_length_b 4.966
_cell_length_c 5.196
_cell_angle_alpha 90.00
_cell_angle_beta 90.00
_cell_angle_gamma 90.00
loop_
_atom_site_label
_atom_site_type_symbol
_atom_site_fract_x
_atom_site_fract_y
_atom_site_fract_z
Nb1 Nb 0.000 0.000 0.000
As1 As 0.000 0.000 0.500
P1 P 0.500 0.500 0.500
Se1 Se 0.000 0.500 0.000
```

=====

Version ii
Material: NbAsPSe2
Method: DFT, PBE-GGA
State: optimized geometry

Computed properties:
* spin magnetization: 0.00 Bohr magnetons per cell

Cell and atoms, written as CIF:
```
data_NbAsPSe2
_symmetry_space_group_name_H-M 'P 4/m m m'
_symmetry_Int_Tables_number 123
_symmetry_space_group_name_Hall '-P 4 2'
_cell_length_a 4.725
_cell_length_b 4.725
_cell_length_c 4.605
_cell_angle_alpha 90.00
_cell_angle_beta 90.00
_cell_angle_gamma 90.00
loop_
_atom_site_label
_atom_site_type_symbol
_atom_site_fract_x
_atom_site_fract_y
_atom_site_fract_z
Nb1 Nb 0.000 0.000 0.000
As1 As 0.500 0.500 0.000
P1 P 0.500 0.500 0.500
Se1 Se 0.000 0.500 0.500
```

=====

The structure with the greatest stability is version i.

=====

Version i
Material: NbAs2PSe
Method: DFT, PBE-GGA
State: optimized geometry

Computed properties:
* spin magnetization: 1.53 Bohr magnetons per cell

Cell and atoms, written as CIF:
```
data_NbAs2PSe
_symmetry_space_group_name_H-M 'P 4/m m m'
_symmetry_Int_Tables_number 123
_symmetry_space_group_name_Hall '-P 4 2'
_cell_length_a 5.074
_cell_length_b 5.074
_cell_length_c 4.909
_cell_angle_alpha 90.00
_cell_angle_beta 90.00
_cell_angle_gamma 90.00
loop_
_atom_site_label
_atom_site_type_symbol
_atom_site_fract_x
_atom_site_fract_y
_atom_site_fract_z
Nb1 Nb 0.000 0.000 0.000
As1 As 0.000 0.500 0.000
P1 P 0.500 0.500 0.500
Se1 Se 0.000 0.000 0.500
```

=====

Version ii
Material: NbAs2PSe
Method: DFT, PBE-GGA
State: optimized geometry

Computed properties:
* spin magnetization: 0.00 Bohr magnetons per cell

Cell and atoms, written as CIF:
```
data_NbAs2PSe
_symmetry_space_group_name_H-M 'P 4/m m m'
_symmetry_Int_Tables_number 123
_symmetry_space_group_name_Hall '-P 4 2'
_cell_length_a 4.604
_cell_length_b 4.604
_cell_length_c 4.776
_cell_angle_alpha 90.00
_cell_angle_beta 90.00
_cell_angle_gamma 90.00
loop_
_atom_site_label
_atom_site_type_symbol
_atom_site_fract_x
_atom_site_fract_y
_atom_site_fract_z
Nb1 Nb 0.000 0.000 0.000
As1 As 0.000 0.500 0.500
P1 P 0.500 0.500 0.500
Se1 Se 0.500 0.500 0.000
```

=====

The structure with the greatest stability is version i.